# 1
The following is a DFT calculation (GGA-PBE) of Pd2RuS4 after structural relaxation. Values from VASP.

The structure in Quantum ESPRESSO input format:
```
&SYSTEM
  ibrav = 0, nat = 7, ntyp = 3
/
ATOMIC_SPECIES
S 32.06 S.upf
Pd 106.42 Pd.upf
Ru 101.07 Ru.upf
CELL_PARAMETERS angstrom
4.834 0.000 0.000
0.000 4.834 0.000
2.417 2.417 5.738
ATOMIC_POSITIONS crystal
S 0.193 0.193 0.613
Pd 0.387 0.387 0.227
Pd 0.613 0.613 0.773
S 0.500 0.000 0.000
S 0.000 0.500 0.000
S 0.807 0.807 0.387
Ru 0.000 0.000 0.000
```

Computed properties:
Its total energy is -4.85 eV per atom.

=====

# 2
The following is a DFT calculation (GGA-PBE) of PaCu3 after structural relaxation. Values from VASP.

The structure in Quantum ESPRESSO input format:
```
&SYSTEM
  ibrav = 0, nat = 4, ntyp = 2
/
ATOMIC_SPECIES
Cu 63.55 Cu.upf
Pa 231.04 Pa.upf
CELL_PARAMETERS angstrom
4.546 0.000 0.000
2.273 3.937 0.000
2.273 1.312 3.711
ATOMIC_POSITIONS crystal
Cu 0.250 0.250 0.250
Cu 0.750 0.750 0.750
Pa 0.500 0.500 0.500
Cu 0.000 0.000 0.000
```

Computed properties:
The energy relative to the elements is 0.123 eV per atom.

=====

# 3
The following is a DFT calculation (GGA-PBE) of OsPbCl after structural relaxation. Values from VASP.

The structure in Quantum ESPRESSO input format:
```
&SYSTEM
  ibrav = 0, nat = 3, ntyp = 3
/
ATOMIC_SPECIES
Pb 207.20 Pb.upf
Cl 35.45 Cl.upf
Os 190.23 Os.upf
CELL_PARAMETERS angstrom
-2.783 4.013 -5.529
-6.141 1.924 -3.606
4.190 -1.270 5.937
ATOMIC_POSITIONS crystal
Pb 0.702 0.702 0.000
Cl 0.954 0.954 0.000
Os 0.345 0.345 0.000
```

Computed properties:
Its total energy is -4.78 eV per atom.

=====

# 4
The following is a DFT calculation (GGA-PBE) of HfS3 after structural relaxation. Values from VASP.

The structure in Quantum ESPRESSO input format:
```
&SYSTEM
  ibrav = 0, nat = 8, ntyp = 2
/
ATOMIC_SPECIES
Hf 178.49 Hf.upf
S 32.06 S.upf
CELL_PARAMETERS angstrom
5.146 0.000 0.004
0.000 3.612 0.000
-1.140 0.000 9.675
ATOMIC_POSITIONS crystal
Hf 0.282 0.250 0.643
S 0.761 0.250 0.549
S 0.481 0.250 0.196
S 0.519 0.750 0.804
S 0.113 0.750 0.803
S 0.239 0.750 0.451
S 0.887 0.250 0.197
Hf 0.718 0.750 0.357
```

Computed properties:
Its total energy is -6.78 eV per atom.

=====

# 5
The following is a DFT calculation (GGA-PBE) of KPu2O5 after structural relaxation. Values from VASP.

The structure in Quantum ESPRESSO input format:
```
&SYSTEM
  ibrav = 0, nat = 16, ntyp = 3
/
ATOMIC_SPECIES
Pu 244.00 Pu.upf
O 16.00 O.upf
K 39.10 K.upf
CELL_PARAMETERS angstrom
-0.687 -4.215 4.822
-2.910 -4.114 -4.011
7.353 1.627 -1.833
ATOMIC_POSITIONS crystal
Pu 0.674 0.174 0.000
O 0.249 0.043 0.793
O 0.500 0.500 0.000
K 0.750 0.750 0.500
O 0.251 0.751 0.207
O 0.543 0.749 0.793
Pu 0.174 0.326 0.000
Pu 0.826 0.674 0.000
O 0.957 0.457 0.207
K 0.250 0.250 0.500
O 0.457 0.251 0.207
O 0.751 0.957 0.207
O 0.000 0.000 0.000
Pu 0.326 0.826 0.000
O 0.043 0.543 0.793
O 0.749 0.249 0.793
```

Computed properties:
Its total energy is -9.35 eV per atom.

=====

# 6
The following is a DFT calculation (GGA-PBE) of PNF3 after structural relaxation. Values from VASP.

The structure in Quantum ESPRESSO input format:
```
&SYSTEM
  ibrav = 0, nat = 5, ntyp = 3
/
ATOMIC_SPECIES
P 30.97 P.upf
F 19.00 F.upf
N 14.01 N.upf
CELL_PARAMETERS angstrom
3.999 0.000 0.000
0.000 3.999 0.000
0.000 0.000 3.999
ATOMIC_POSITIONS crystal
P 0.000 0.000 0.000
F 0.000 0.000 0.500
N 0.500 0.500 0.500
F 0.500 0.000 0.000
F 0.000 0.500 0.000
```

Computed properties:
Its total energy is -4.14 eV per atom.

=====

no.,DOS at the Fermi energy (states/eV/atom)
1,1.2172
2,1.2213
3,1.1473
4,0.0000
5,0.9437
6,0.0000